Computed, not measured: Tb7Pm12Tm after structural relaxation at the PBE level of DFT.

Lattice parameters (Å, degrees): 8.8116 8.8116 8.8116 87.53 87.53 87.53
Last column: nearest neighbours and their distance in Å.
Positions (direct):
Tb1 0.0000 0.0000 0.0000  6 Pm 3.31
Tb2 0.1080 0.4287 0.3513  3 Tb 3.42-3.53, 7 Pm 3.60-3.81, 1 Tm 3.83
Tb3 0.3513 0.1080 0.4287  3 Tb 3.42-3.53, 7 Pm 3.60-3.81, 1 Tm 3.83
Tb4 0.4287 0.3513 0.1080  3 Tb 3.42-3.53, 7 Pm 3.60-3.81, 1 Tm 3.83
Tb5 0.5713 0.6487 0.8920  3 Tb 3.42-3.53, 7 Pm 3.60-3.81, 1 Tm 3.83
Tb6 0.6487 0.8920 0.5713  3 Tb 3.42-3.53, 7 Pm 3.60-3.81, 1 Tm 3.83
Tb7 0.8920 0.5713 0.6487  3 Tb 3.42-3.53, 7 Pm 3.60-3.81, 1 Tm 3.83
Pm1 0.0085 0.8864 0.3626  4 Pm 3.20-3.43, 1 Tb 3.31
Pm2 0.1136 0.6374 0.9915  4 Pm 3.20-3.43, 1 Tb 3.31
Pm3 0.2276 0.3515 0.7549  3 Pm 3.25-3.43, 1 Tm 3.47, 1 Tb 3.60
Pm4 0.2451 0.7724 0.6485  3 Pm 3.25-3.43, 1 Tm 3.47, 1 Tb 3.60
Pm5 0.3515 0.7549 0.2276  3 Pm 3.25-3.43, 1 Tm 3.47, 1 Tb 3.60
Pm6 0.3626 0.0085 0.8864  4 Pm 3.20-3.43, 1 Tb 3.31
Pm7 0.6374 0.9915 0.1136  4 Pm 3.20-3.43, 1 Tb 3.31
Pm8 0.6485 0.2451 0.7724  3 Pm 3.25-3.43, 1 Tm 3.47, 1 Tb 3.60
Pm9 0.7549 0.2276 0.3515  3 Pm 3.25-3.43, 1 Tm 3.47, 1 Tb 3.60
Pm10 0.7724 0.6485 0.2451  3 Pm 3.25-3.43, 1 Tm 3.47, 1 Tb 3.60
Pm11 0.8864 0.3626 0.0085  4 Pm 3.20-3.43, 1 Tb 3.31
Pm12 0.9915 0.1136 0.6374  4 Pm 3.20-3.43, 1 Tb 3.31
Tm1 0.5000 0.5000 0.5000  6 Pm 3.47, 6 Tb 3.83

Results
* ΔH_f (0 K): 231.1 meV/atom
* uncorrected energy: -4.46 eV per atom
* total magnetic moment: 0.00 μB/f.u.
* space group: R-3, No. 148
* crystal system: trigonal
* N(E_F): 39.143 states/eV/f.u.